Below is a relaxed structure of RbNa2H6, with properties calculated at the PBE-GGA level.

The structure in CIF format:
```
data_RbNa2H6
_chemical_formula_sum 'Rb1 Na2 H6'
_cell_length_a 5.625
_cell_length_b 5.625
_cell_length_c 5.625
_cell_angle_alpha 60.00
_cell_angle_beta 60.00
_cell_angle_gamma 60.00
_space_group_name_H-M_alt 'P 1'
_space_group_IT_number 1
loop_
_space_group_symop_operation_xyz
'x,y,z'
loop_
_atom_site_label
_atom_site_type_symbol
_atom_site_fract_x
_atom_site_fract_y
_atom_site_fract_z
_atom_site_occupancy
Na1 Na 0.750 0.750 0.750 1
Na2 Na 0.250 0.250 0.250 1
Rb1 Rb 0.000 0.000 0.000 1
H1 H 0.379 0.621 0.379 1
H2 H 0.621 0.379 0.379 1
H3 H 0.379 0.621 0.621 1
H4 H 0.621 0.379 0.621 1
H5 H 0.621 0.621 0.379 1
H6 H 0.379 0.379 0.621 1
```

Computed properties:
N(E_F) = 3.447 states/eV/f.u.
Raw total energy = -2.05 eV/atom
Spin magnetization = 0.000 μB/cell



Below is a relaxed structure of Rb3NaH4, with properties calculated at the PBE-GGA level.

The structure in CIF format:
```
data_Rb3NaH4
_chemical_formula_sum 'Rb3 Na1 H4'
_cell_length_a 4.074
_cell_length_b 6.998
_cell_length_c 6.998
_cell_angle_alpha 108.87
_cell_angle_beta 90.00
_cell_angle_gamma 90.00
_space_group_name_H-M_alt 'P 1'
_space_group_IT_number 1
loop_
_space_group_symop_operation_xyz
'x,y,z'
loop_
_atom_site_label
_atom_site_type_symbol
_atom_site_fract_x
_atom_site_fract_y
_atom_site_fract_z
_atom_site_occupancy
Rb1 Rb 0.000 0.000 0.500 1
Rb2 Rb 0.500 0.500 0.500 1
Rb3 Rb 0.000 0.500 0.000 1
Na1 Na 0.500 0.000 0.000 1
H1 H 0.000 0.231 0.231 1
H2 H 0.500 0.770 0.230 1
H3 H 0.000 0.769 0.769 1
H4 H 0.500 0.230 0.770 1
```

Computed properties:
N(E_F) = 0.000 states/eV/f.u.
Raw total energy = -2.33 eV/atom
Spin magnetization = 0.000 μB/cell



Below is a relaxed structure of RbNaH4, with properties calculated at the PBE-GGA level.

The structure in CIF format:
```
data_RbNaH4
_chemical_formula_sum 'Rb2 Na2 H8'
_cell_length_a 4.811
_cell_length_b 6.574
_cell_length_c 8.349
_cell_angle_alpha 113.18
_cell_angle_beta 99.16
_cell_angle_gamma 90.00
_space_group_name_H-M_alt 'P 1'
_space_group_IT_number 1
loop_
_space_group_symop_operation_xyz
'x,y,z'
loop_
_atom_site_label
_atom_site_type_symbol
_atom_site_fract_x
_atom_site_fract_y
_atom_site_fract_z
_atom_site_occupancy
Rb1 Rb 0.163 0.178 0.356 1
Rb2 Rb 0.837 0.822 0.644 1
Na1 Na 0.786 0.419 0.837 1
Na2 Na 0.214 0.581 0.163 1
H1 H 0.722 0.281 0.562 1
H2 H 0.611 0.132 0.150 1
H3 H 0.000 0.256 0.000 1
H4 H 0.389 0.982 0.850 1
H5 H 0.278 0.719 0.438 1
H6 H 0.389 0.868 0.850 1
H7 H 0.000 0.744 0.000 1
H8 H 0.611 0.018 0.150 1
```

Computed properties:
N(E_F) = 0.000 states/eV/f.u.
Raw total energy = -2.65 eV/atom
Spin magnetization = 0.000 μB/cell



Below is a relaxed structure of RbNa2H, with properties calculated at the PBE-GGA level.

The structure in CIF format:
```
data_RbNa2H
_chemical_formula_sum 'Rb1 Na2 H1'
_cell_length_a 3.907
_cell_length_b 3.907
_cell_length_c 10.755
_cell_angle_alpha 79.53
_cell_angle_beta 79.53
_cell_angle_gamma 60.00
_space_group_name_H-M_alt 'P 1'
_space_group_IT_number 1
loop_
_space_group_symop_operation_xyz
'x,y,z'
loop_
_atom_site_label
_atom_site_type_symbol
_atom_site_fract_x
_atom_site_fract_y
_atom_site_fract_z
_atom_site_occupancy
Rb1 Rb 0.500 0.500 0.499 1
Na1 Na 0.045 0.045 0.864 1
Na2 Na 0.288 0.288 0.137 1
H1 H 0.667 0.667 0.000 1
```

Computed properties:
N(E_F) = 2.383 states/eV/f.u.
Raw total energy = -1.62 eV/atom
Spin magnetization = 0.000 μB/cell



Below is a relaxed structure of RbNaH2, with properties calculated at the PBE-GGA level.

The structure in CIF format:
```
data_RbNaH2
_chemical_formula_sum 'Rb1 Na1 H2'
_cell_length_a 3.793
_cell_length_b 3.793
_cell_length_c 6.735
_cell_angle_alpha 73.64
_cell_angle_beta 73.64
_cell_angle_gamma 60.00
_space_group_name_H-M_alt 'P 1'
_space_group_IT_number 1
loop_
_space_group_symop_operation_xyz
'x,y,z'
loop_
_atom_site_label
_atom_site_type_symbol
_atom_site_fract_x
_atom_site_fract_y
_atom_site_fract_z
_atom_site_occupancy
Na1 Na 0.000 0.000 0.000 1
Rb1 Rb 0.500 0.500 0.500 1
H1 H 0.264 0.264 0.209 1
H2 H 0.736 0.736 0.791 1
```

Computed properties:
N(E_F) = 0.000 states/eV/f.u.
Raw total energy = -2.37 eV/atom
Spin magnetization = 0.000 μB/cell



Below is a relaxed structure of RbNaH, with properties calculated at the PBE-GGA level.

The structure in CIF format:
```
data_RbNaH
_chemical_formula_sum 'Rb1 Na1 H1'
_cell_length_a 3.965
_cell_length_b 3.965
_cell_length_c 7.067
_cell_angle_alpha 90.00
_cell_angle_beta 90.00
_cell_angle_gamma 120.00
_space_group_name_H-M_alt 'P 1'
_space_group_IT_number 1
loop_
_space_group_symop_operation_xyz
'x,y,z'
loop_
_atom_site_label
_atom_site_type_symbol
_atom_site_fract_x
_atom_site_fract_y
_atom_site_fract_z
_atom_site_occupancy
Na1 Na 0.000 0.000 0.889 1
Rb1 Rb 0.667 0.333 0.429 1
H1 H 0.333 0.667 0.681 1
```

Computed properties:
N(E_F) = 0.897 states/eV/f.u.
Raw total energy = -1.84 eV/atom
Spin magnetization = 0.000 μB/cell